Entry 1:
DFT (GGA-PBE) results for a relaxed Fe2Pd4Au crystal.

Properties
Its space group is P-1 (2). The value obtained for the energy is -5.704 eV per atom. As for the energy above the most stable polymorph in this dataset: 0.077 eV per atom.

```
Fe2Pd4Au
1.0
-5.856 -1.718 0.778
-1.675 -4.872 1.548
-3.714 -2.337 5.271
Fe Pd Au
2 4 1
Direct
0.533 0.673 0.532
0.467 0.327 0.468
0.897 0.767 0.555
0.500 0.000 0.000
0.103 0.233 0.445
0.000 0.500 0.000
0.000 0.000 0.000
```

=====

Entry 2:
DFT (GGA-PBE) results for a relaxed FePd12Au3 crystal.

Properties
Its space group is P4/mmm (123). The value obtained for the energy is -5.006 eV per atom.

```
FePd12Au3
1.0
-2.328 0.561 -3.170
-3.209 -0.702 2.233
-0.975 15.400 3.441
Pd Au Fe
12 3 1
Direct
0.000 0.500 0.372
0.500 0.500 0.000
0.000 0.500 0.628
0.500 0.500 0.244
0.500 0.000 0.372
0.500 0.000 0.628
0.500 0.500 0.756
0.500 0.000 0.885
0.500 0.000 0.115
0.000 0.500 0.885
0.500 0.500 0.500
0.000 0.500 0.115
0.000 0.000 0.500
0.000 0.000 0.244
0.000 0.000 0.756
0.000 0.000 0.000
```

=====

Entry 3:
DFT (GGA-PBE) results for a relaxed Fe2Pd3Au crystal.

Properties
Its space group is P4/mmm (123). The value obtained for the energy is -6.036 eV per atom. As for the energy above the most stable polymorph in this dataset: 0.000 eV per atom.

```
Fe2Pd3Au
1.0
-1.877 -1.809 -0.965
2.049 -1.613 -0.962
0.273 -5.648 10.055
Pd Fe Au
3 2 1
Direct
0.000 0.000 0.687
0.000 0.000 0.313
0.000 0.000 0.000
0.500 0.500 0.841
0.500 0.500 0.159
0.500 0.500 0.500
```

=====

Entry 4:
DFT (GGA-PBE) results for a relaxed Fe2Pd3Au3 crystal.

Properties
Its space group is Pmmm (47). The value obtained for the energy is -5.292 eV per atom.

```
Fe2Pd3Au3
1.0
-3.266 0.811 2.245
-2.142 -2.570 -2.188
1.927 -5.765 4.886
Fe Au Pd
2 3 3
Direct
0.000 0.000 0.741
0.000 0.000 0.259
0.500 0.000 0.000
0.500 0.500 0.746
0.500 0.500 0.254
0.500 0.000 0.500
0.000 0.500 0.500
0.000 0.500 0.000
```

=====

Entry 5:
DFT (GGA-PBE) results for a relaxed FePd6Au crystal.

Properties
Its space group is P-1 (2). The value obtained for the energy is -5.297 eV per atom. As for the energy above the most stable polymorph in this dataset: 0.148 eV per atom.

```
FePd6Au
1.0
6.940 -0.213 0.201
3.266 6.136 0.167
3.452 2.031 3.089
Au Pd Fe
1 6 1
Direct
0.000 0.000 0.000
0.471 0.744 0.727
0.256 0.056 0.218
0.056 0.528 0.671
0.944 0.472 0.329
0.744 0.944 0.782
0.529 0.256 0.273
0.500 0.500 0.500
```

=====

Entry 6:
DFT (GGA-PBE) results for a relaxed Fe2Pd9Au crystal.

Properties
Its space group is P4/mmm (123). The value obtained for the energy is -5.664 eV per atom.

```
Fe2Pd9Au
1.0
3.939 0.000 0.000
0.000 3.939 0.000
0.000 0.000 11.728
Au Pd Fe
1 9 2
Direct
0.000 0.000 0.000
0.500 0.500 0.662
0.000 0.500 0.177
0.500 0.500 0.000
0.000 0.500 0.823
0.500 0.500 0.338
0.500 0.000 0.500
0.500 0.000 0.177
0.000 0.500 0.500
0.500 0.000 0.823
0.000 0.000 0.333
0.000 0.000 0.667
```

=====

Entry 7:
DFT (GGA-PBE) results for a relaxed Fe2Pd5Au2 crystal.

Properties
Its space group is Cmce (64). The value obtained for the energy is -5.403 eV per atom. As for the energy above the most stable polymorph in this dataset: 0.152 eV per atom.

```
Fe2Pd5Au2
1.0
-3.398 -5.036 1.783
6.339 -4.751 -1.341
-2.649 4.056 6.409
Fe Pd Au
4 10 4
Direct
0.873 0.374 0.374
0.127 0.626 0.626
0.373 0.126 0.126
0.627 0.874 0.874
0.175 0.445 0.204
0.825 0.796 0.555
0.000 0.000 0.000
0.500 0.500 0.500
0.675 0.055 0.296
0.675 0.296 0.055
0.325 0.704 0.945
0.325 0.945 0.704
0.175 0.204 0.445
0.825 0.555 0.796
0.500 0.275 0.725
0.000 0.225 0.775
0.500 0.725 0.275
0.000 0.775 0.225
```

=====

Entry 8:
DFT (GGA-PBE) results for a relaxed Fe2Pd4Au crystal.

Properties
Its space group is P2_1/m (11). The value obtained for the energy is -5.781 eV per atom. As for the energy above the most stable polymorph in this dataset: 0.000 eV per atom.

```
Fe2Pd4Au
1.0
6.603 0.000 -0.160
0.000 5.389 0.000
-2.819 0.000 6.195
Pd Fe Au
8 4 2
Direct
0.119 0.250 0.350
0.636 0.497 0.238
0.048 0.750 0.358
0.636 0.003 0.238
0.364 0.997 0.762
0.364 0.503 0.762
0.952 0.250 0.642
0.881 0.750 0.650
0.531 0.250 0.519
0.469 0.750 0.481
0.753 0.750 0.951
0.247 0.250 0.049
0.216 0.750 0.055
0.784 0.250 0.945
```

=====

Entry 9:
DFT (GGA-PBE) results for a relaxed Fe5Pd12Au2 crystal.

Properties
Its space group is C2/m (12). The value obtained for the energy is -5.696 eV per atom.

```
Fe5Pd12Au2
1.0
-0.958 5.172 -1.434
-4.031 -1.903 6.192
7.664 2.262 3.038
Fe Pd Au
5 12 2
Direct
0.358 0.717 0.140
0.680 0.360 0.341
0.642 0.283 0.860
0.320 0.640 0.659
0.000 0.000 0.500
0.957 0.402 0.117
0.910 0.325 0.580
0.509 0.018 0.349
0.898 0.796 0.184
0.090 0.675 0.420
0.043 0.598 0.883
0.556 0.598 0.883
0.414 0.325 0.580
0.586 0.675 0.420
0.491 0.982 0.651
0.102 0.204 0.816
0.444 0.402 0.117
0.254 0.000 0.000
0.746 0.000 0.000
```

=====

Entry 10:
DFT (GGA-PBE) results for a relaxed Fe2Pd2Au crystal.

Properties
Its space group is P4/mbm (127). The value obtained for the energy is -6.034 eV per atom. As for the energy above the most stable polymorph in this dataset: 0.095 eV per atom.

```
Fe2Pd2Au
1.0
7.356 0.000 0.000
0.000 7.356 0.000
0.000 0.000 2.800
Fe Pd Au
4 4 2
Direct
0.615 0.115 0.000
0.885 0.615 0.000
0.115 0.385 0.000
0.385 0.885 0.000
0.822 0.322 0.500
0.178 0.678 0.500
0.322 0.178 0.500
0.678 0.822 0.500
0.500 0.500 0.000
0.000 0.000 0.000
```

=====

Entry 11:
DFT (GGA-PBE) results for a relaxed Fe2Pd2Au crystal.

Properties
Its space group is Cmc2_1 (36). The value obtained for the energy is -6.071 eV per atom. As for the energy above the most stable polymorph in this dataset: 0.057 eV per atom.

```
Fe2Pd2Au
1.0
4.388 0.000 0.000
0.000 5.384 0.000
-2.194 0.000 6.366
Pd Fe Au
4 4 2
Direct
0.814 0.361 0.627
0.977 0.743 0.953
0.186 0.861 0.373
0.023 0.243 0.047
0.214 0.376 0.429
0.385 0.581 0.769
0.615 0.081 0.231
0.786 0.876 0.571
0.397 0.073 0.793
0.603 0.573 0.207
```

=====

Entry 12:
DFT (GGA-PBE) results for a relaxed Fe4Pd7Au crystal.

Properties
Its space group is C2/m (12). The value obtained for the energy is -5.907 eV per atom.

```
Fe4Pd7Au
1.0
4.871 0.000 0.000
2.435 6.633 0.965
2.435 0.879 6.002
Pd Fe Au
7 4 1
Direct
0.266 0.700 0.769
0.734 0.300 0.231
0.789 0.882 0.541
0.069 0.591 0.272
0.931 0.409 0.728
0.211 0.118 0.459
0.500 0.000 0.000
0.693 0.650 0.965
0.471 0.691 0.368
0.529 0.309 0.632
0.307 0.350 0.035
0.000 0.000 0.000
```

=====

Formation energy values (in eV per atom) by entry order: 0.149; 0.032; -0.072; 0.000; 0.065; -0.086; 0.090; 0.072; 0.156; 0.084; 0.046; 0.216.